# CaZnFeAs2O10

An optimized crystal structure of CaZnFeAs2O10 (PBE with a Hubbard U, Alexandria).

Unit cell a=5.3266 b=5.2694 c=7.6078 alpha=74.11 beta=73.84 gamma=76.84
Fractional coordinates of all 15 atoms:
Ca 0.0000 0.0000 0.0000
Zn 0.5000 0.0000 0.5000
Fe 0.0000 0.5000 0.5000
As 0.4214 0.4400 0.7844
As 0.5786 0.5600 0.2156
O 0.9157 0.9148 0.5454
O 0.0843 0.0852 0.4546
O 0.3101 0.3403 0.6170
O 0.6899 0.6597 0.3830
O 0.7256 0.7232 0.0037
O 0.2744 0.2768 0.9963
O 0.3343 0.7825 0.7501
O 0.7645 0.3511 0.7417
O 0.6657 0.2175 0.2499
O 0.2355 0.6489 0.2583

Magnetization   0.400 μB/atom
Energy   -5.917 eV per atom
Density   4.02 Mg/m³
Space-group type   No. 2